A relaxed Ni2CCl crystal. Source: Alexandria, functional PBE.

It has space group Fm-3m (No. 225), with a = 5.5756 Å, b = 5.5756 Å, c = 5.5756 Å, α = 90.00°, β = 90.00° and γ = 90.00°. The distinct sites, in fractional coordinates, are Ni at (0.2500, 0.2500, 0.2500), C at (0.0000, 0.0000, 0.0000) and Cl at (0.0000, 0.0000, 0.5000).

The magnetization is 0.00 μB/f.u. For the density of states at the Fermi level, the calculation gives 0.47 states/eV per atom. The energy above the lowest structure with this stoichiometry comes out at 873 meV/atom. The value obtained for the uncorrected formation energy is 4.899 eV per formula unit.



A relaxed NiCCl2 crystal. Source: Alexandria, functional PBE.

It has space group Fm-3m (No. 225), with a = 6.0870 Å, b = 6.0870 Å, c = 6.0870 Å, α = 90.00°, β = 90.00° and γ = 90.00°. The distinct sites, in fractional coordinates, are Ni at (0.0000, 0.0000, 0.0000), C at (0.0000, 0.0000, 0.5000) and Cl at (0.2500, 0.2500, 0.2500).

The magnetization is 0.19 μB/f.u. For the density of states at the Fermi level, the calculation gives 0.91 states/eV per atom. The energy above the lowest structure with this stoichiometry comes out at 364 meV/atom. The value obtained for the uncorrected formation energy is 6.739 eV per formula unit.



A relaxed NiCCl2 crystal. Source: Alexandria, functional PBE.

It has space group R-3m (No. 166, hexagonal axes), with a = 3.3739 Å, b = 3.3739 Å, c = 21.6575 Å, α = 90.00°, β = 90.00° and γ = 120.00°. The distinct sites, in fractional coordinates, are Ni at (0.0000, 0.0000, 0.0000), C at (0.0000, 0.0000, 0.5000) and Cl at (0.0000, 0.0000, 0.3970).

The magnetization is 1.27 μB/f.u. For the density of states at the Fermi level, the calculation gives 0.86 states/eV per atom. The energy above the lowest structure with this stoichiometry comes out at 0 meV/atom. The value obtained for the uncorrected formation energy is 5.284 eV per formula unit.



A relaxed NiCCl2 crystal. Source: Alexandria, functional PBE.

It has space group I-42d (No. 122), with a = 5.4132 Å, b = 5.4132 Å, c = 9.7759 Å, α = 90.00°, β = 90.00° and γ = 90.00°. The distinct sites, in fractional coordinates, are Ni at (0.0000, 0.0000, 0.0000), C at (0.0000, 0.0000, 0.5000) and Cl at (0.2346, 0.2500, 0.1250).

The magnetization is 0.00 μB/f.u. For the density of states at the Fermi level, the calculation gives 0.19 states/eV per atom. The energy above the lowest structure with this stoichiometry comes out at 46 meV/atom. The value obtained for the uncorrected formation energy is 5.470 eV per formula unit.



A relaxed NiCCl3 crystal. Source: Alexandria, functional PBE.

It has space group Pm-3m (No. 221), with a = 4.4009 Å, b = 4.4009 Å, c = 4.4009 Å, α = 90.00°, β = 90.00° and γ = 90.00°. The distinct sites, in fractional coordinates, are Ni at (0.0000, 0.0000, 0.0000), C at (0.5000, 0.5000, 0.5000) and Cl at (0.0000, 0.5000, 0.5000).

The magnetization is 1.01 μB/f.u. For the density of states at the Fermi level, the calculation gives 1.72 states/eV per atom. The energy above the lowest structure with this stoichiometry comes out at 42 meV/atom. The value obtained for the uncorrected formation energy is 6.116 eV per formula unit.



A relaxed NiCCl3 crystal. Source: Alexandria, functional PBE.

It has space group Pm-3m (No. 221), with a = 4.5746 Å, b = 4.5746 Å, c = 4.5746 Å, α = 90.00°, β = 90.00° and γ = 90.00°. The distinct sites, in fractional coordinates, are Ni at (0.0000, 0.0000, 0.0000), C at (0.5000, 0.5000, 0.5000) and Cl at (0.0000, 0.0000, 0.5000).

The magnetization is 1.00 μB/f.u. For the density of states at the Fermi level, the calculation gives 0.93 states/eV per atom. The energy above the lowest structure with this stoichiometry comes out at 0 meV/atom. The value obtained for the uncorrected formation energy is 5.908 eV per formula unit.



A relaxed Ni2CCl crystal. Source: Alexandria, functional PBE.

It has space group I-42d (No. 122), with a = 4.9732 Å, b = 4.9732 Å, c = 8.8003 Å, α = 90.00°, β = 90.00° and γ = 90.00°. The distinct sites, in fractional coordinates, are Ni at (0.1595, 0.2500, 0.1250), C at (0.0000, 0.0000, 0.0000) and Cl at (0.0000, 0.0000, 0.5000).

The magnetization is 0.00 μB/f.u. For the density of states at the Fermi level, the calculation gives 0.74 states/eV per atom. The energy above the lowest structure with this stoichiometry comes out at 0 meV/atom. The value obtained for the uncorrected formation energy is 1.407 eV per formula unit.



A relaxed NiPCCl2 crystal. Source: Alexandria, functional PBE.

It has space group P4/mmm (No. 123), with a = 4.6275 Å, b = 4.6275 Å, c = 4.3629 Å, α = 90.00°, β = 90.00° and γ = 90.00°. The distinct sites, in fractional coordinates, are Ni at (0.0000, 0.0000, 0.0000), P at (0.0000, 0.0000, 0.5000), C at (0.5000, 0.5000, 0.5000) and Cl at (0.0000, 0.5000, 0.0000).

The magnetization is 1.62 μB/f.u. For the density of states at the Fermi level, the calculation gives 0.66 states/eV per atom. The energy above the lowest structure with this stoichiometry comes out at 168 meV/atom. The value obtained for the uncorrected formation energy is 7.554 eV per formula unit.